No. 1
Entry from Alexandria: a relaxed structure of CaSn2BAs (PBE).

abc: 5.3770 5.4448 5.3770
angles: 90.00 90.00 90.00
With the nearest neighbours (Å) after each atom.
Element x y z (fractional)
Ca  0.0000  0.5000  0.0000  2 As 2.72
Sn  0.0000  0.0000  0.5000  2 As 2.69
B  0.5000  0.5000  0.5000  4 Ca 3.80, 8 Sn 3.83
Sn  0.5000  0.0000  0.0000  2 As 2.69
As  0.0000  0.0000  0.0000  4 Sn 2.69, 2 Ca 2.72

Calculated values
Its density of states at the Fermi level is 3.66 states/eV/f.u. The energy of formation from the pure elements is 0.95 eV per atom.

No. 2
Entry from Alexandria: a relaxed structure of Ca2BTeAs (PBE).

abc: 5.3013 4.3573 5.3013
angles: 90.00 90.00 90.00
With the nearest neighbours (Å) after each atom.
Element x y z (fractional)
Ca  0.0000  0.0000  0.5000  2 B 2.65
B  0.0000  0.0000  0.0000  2 Te 2.18
As  0.5000  0.5000  0.5000  8 Ca 3.43, 4 Te 3.75
Ca  0.5000  0.0000  0.0000  2 B 2.65
Te  0.0000  0.5000  0.0000  2 B 2.18

Calculated values
Its formation energy without anion corrections is -0.120 eV per atom. Its density of states at the Fermi level is 2.05 states/eV/f.u.

No. 3
Entry from Alexandria: a relaxed structure of CdBAs2 (PBE).

abc: 4.6515 4.6515 4.6515
angles: 60.00 60.00 60.00
With the nearest neighbours (Å) after each atom.
Element x y z (fractional)
As  0.7500  0.7500  0.7500  4 B 2.85, 4 Cd 2.85
Cd  0.5000  0.5000  0.5000  8 As 2.85
B  0.0000  0.0000  0.0000  8 As 2.85
As  0.2500  0.2500  0.2500  4 Cd 2.85, 4 B 2.85

Calculated values
Its density of states at the Fermi level is 1.80 states/eV/f.u. The energy of formation from the pure elements is 1.10 eV per atom. The value obtained for the energy above the lowest structure with this stoichiometry is 929 meV/atom.

No. 4
Entry from Alexandria: a relaxed structure of CdBAs2 (PBE).

abc: 5.6942 5.6942 6.3653
angles: 63.43 63.43 90.00
With the nearest neighbours (Å) after each atom.
Element x y z (fractional)
As  0.8750  0.7943  0.7500  2 B 2.12
As  0.5443  0.1250  0.2500  2 B 2.12
B  0.5000  0.5000  0.0000  4 As 2.12
As  0.3750  0.4557  0.7500  2 B 2.12
As  0.2057  0.6250  0.2500  2 B 2.12
B  0.2500  0.7500  0.5000  4 As 2.12
Cd  0.7500  0.2500  0.5000  4 As 2.66
Cd  0.0000  0.0000  0.0000  4 As 2.66

Calculated values
Its density of states at the Fermi level is 2.43 states/eV/f.u. The energy of formation from the pure elements is 0.17 eV per atom. The value obtained for the energy above the lowest structure with this stoichiometry is 0 meV/atom.

No. 5
Entry from Alexandria: a relaxed structure of Cd3BAs (PBE).

abc: 4.6524 4.6524 4.6524
angles: 90.00 90.00 90.00
With the nearest neighbours (Å) after each atom.
Element x y z (fractional)
Cd  0.5000  0.0000  0.0000  2 B 2.33
B  0.0000  0.0000  0.0000  6 Cd 2.33
Cd  0.0000  0.5000  0.0000  2 B 2.33
As  0.5000  0.5000  0.5000  12 Cd 3.29
Cd  0.0000  0.0000  0.5000  2 B 2.33

Calculated values
Its density of states at the Fermi level is 4.04 states/eV/f.u. The energy of formation from the pure elements is 0.56 eV per atom.

No. 6
Entry from Alexandria: a relaxed structure of CdCuB2As (PBE).

abc: 3.8681 5.5124 3.8681
angles: 90.00 90.00 90.00
With the nearest neighbours (Å) after each atom.
Element x y z (fractional)
As  0.0000  0.5000  0.0000  4 Cd 2.74, 2 Cu 2.76
B  0.5000  0.0000  0.0000  2 Cu 1.93
Cu  0.0000  0.0000  0.0000  4 B 1.93
Cd  0.5000  0.5000  0.5000  4 As 2.74
B  0.0000  0.0000  0.5000  2 Cu 1.93

Calculated values
Its density of states at the Fermi level is 1.36 states/eV/f.u. The energy of formation from the pure elements is 1.06 eV per atom.